SrHS2N: relaxed, PBE-GGA.

Computed properties:
Symmetry: P4/mmm
ΔE to the lowest computed polymorph in meV/atom: 0

a = 3.763 Å, b = 3.763 Å, c = 5.639 Å
α = 90.00°, β = 90.00°, γ = 90.00°
Each line ends with the local moment (μB).
Fractional coordinates of all 5 atoms:
S 0.500 0.000 0.000  0.05
S 0.000 0.500 0.000  0.05
Sr 0.500 0.500 0.500  0.01
H 0.000 0.000 0.000  0.00
N 0.000 0.000 0.500  1.07

PuCdP2N6: relaxed, PBE-GGA.

Computed properties:
Symmetry: C2/c

a = 5.107 Å, b = 7.012 Å, c = 7.012 Å
α = 87.84°, β = 80.05°, γ = 80.05°
Each line ends with the local moment (μB).
Fractional coordinates of all 20 atoms:
N 0.949 0.707 0.609  -0.07
N 0.332 0.244 0.015  -0.13
N 0.618 0.172 0.593  -0.16
N 0.551 0.391 0.293  -0.07
N 0.168 0.985 0.756  -0.13
N 0.118 0.593 0.172  -0.16
N 0.449 0.609 0.707  -0.07
N 0.668 0.756 0.985  -0.13
N 0.832 0.015 0.244  -0.13
N 0.051 0.293 0.391  -0.07
N 0.882 0.407 0.828  -0.16
N 0.382 0.828 0.407  -0.16
Pu 0.250 0.297 0.703  2.90
Pu 0.750 0.703 0.297  2.90
P 0.230 0.790 0.629  0.00
P 0.770 0.210 0.371  0.00
P 0.270 0.371 0.210  0.00
P 0.730 0.629 0.790  0.00
Cd 0.250 0.911 0.089  -0.02
Cd 0.750 0.089 0.911  -0.02

KPSN2: relaxed, PBE-GGA.

Computed properties:
Symmetry: P4/mmm
ΔE to the lowest computed polymorph in meV/atom: 1748

a = 4.815 Å, b = 4.815 Å, c = 6.333 Å
α = 90.00°, β = 90.00°, γ = 90.00°
Each line ends with the local moment (μB).
Fractional coordinates of all 5 atoms:
S 0.000 0.000 0.500  -0.16
N 0.000 0.500 0.000  1.76
N 0.500 0.000 0.000  1.76
K 0.000 0.000 0.000  0.11
P 0.500 0.500 0.500  0.79

ZrSb2Os: relaxed, PBE-GGA.

Computed properties:
Symmetry: R-3m
ΔE to the lowest computed polymorph in meV/atom: 387

a = 9.214 Å, b = 9.214 Å, c = 9.214 Å
α = 20.27°, β = 20.27°, γ = 20.27°
Fractional coordinates of all 4 atoms:
Sb 0.009 0.009 0.009
Sb 0.491 0.491 0.491
Os 0.750 0.750 0.750
Zr 0.250 0.250 0.250

BiIF3: relaxed, PBE-GGA.

Computed properties:
Symmetry: Pm-3m
ΔE to the lowest computed polymorph in meV/atom: 1441

a = 4.798 Å, b = 4.798 Å, c = 4.798 Å
α = 90.00°, β = 90.00°, γ = 90.00°
Each line ends with the local moment (μB).
Fractional coordinates of all 5 atoms:
F 0.000 0.500 0.000  0.00
F 0.500 0.000 0.000  0.01
F 0.000 0.000 0.500  0.03
I 0.000 0.000 0.000  -0.07
Bi 0.500 0.500 0.500  0.80

Rb2ZrInAu: relaxed, PBE-GGA.

Computed properties:
Symmetry: P4/mmm
Calculated formation energy in eV per atom: 0.8052

a = 6.743 Å, b = 5.547 Å, c = 6.743 Å
α = 90.00°, β = 90.00°, γ = 90.00°
Each line ends with the local moment (μB).
Fractional coordinates of all 5 atoms:
Zr 0.000 0.500 0.000  0.83
In 0.000 0.000 0.000  -0.01
Au 0.500 0.500 0.500  0.00
Rb 0.500 0.000 0.000  0.00
Rb 0.000 0.000 0.500  0.01

NaTb2ErS4: relaxed, PBE-GGA.

Computed properties:
Symmetry: P2/m

a = 3.908 Å, b = 6.813 Å, c = 6.815 Å
α = 70.89°, β = 90.00°, γ = 90.00°
Fractional coordinates of all 8 atoms:
Tb 0.000 0.000 0.000
Tb 0.500 0.000 0.500
S 0.000 0.248 0.256
S 0.000 0.752 0.744
S 0.500 0.254 0.746
S 0.500 0.746 0.254
Na 0.500 0.500 0.000
Er 0.000 0.500 0.500

CaNiSnSe2: relaxed, PBE-GGA.

Computed properties:
Symmetry: P4/mmm
ΔE to the lowest computed polymorph in meV/atom: 961

a = 5.331 Å, b = 5.331 Å, c = 5.877 Å
α = 90.00°, β = 90.00°, γ = 90.00°
Each line ends with the local moment (μB).
Fractional coordinates of all 5 atoms:
Sn 0.000 0.000 0.500  0.12
Se 0.000 0.500 0.000  0.19
Se 0.500 0.000 0.000  0.19
Ca 0.000 0.000 0.000  0.05
Ni 0.500 0.500 0.500  0.96

CaHoZn10: relaxed, PBE-GGA.

Computed properties:
Symmetry: Pmmm
Calculated formation energy in eV per atom: -0.2448

a = 4.241 Å, b = 5.335 Å, c = 9.218 Å
α = 90.00°, β = 90.00°, γ = 90.00°
Fractional coordinates of all 12 atoms:
Ho 0.000 0.000 0.000
Zn 0.500 0.755 0.758
Zn 0.500 0.755 0.242
Zn 0.500 0.500 0.000
Zn 0.000 0.500 0.833
Zn 0.500 0.245 0.242
Zn 0.500 0.245 0.758
Zn 0.000 0.000 0.667
Zn 0.000 0.000 0.333
Zn 0.000 0.500 0.167
Zn 0.500 0.000 0.500
Ca 0.000 0.500 0.500

SrNpAu2: relaxed, PBE-GGA.

Computed properties:
Symmetry: P4/mmm
Calculated formation energy in eV per atom: -0.3214

a = 3.691 Å, b = 3.691 Å, c = 7.666 Å
α = 90.00°, β = 90.00°, γ = 90.00°
Each line ends with the local moment (μB).
Fractional coordinates of all 4 atoms:
Sr 0.500 0.500 0.500  0.03
Au 0.000 0.000 0.221  0.05
Au 0.000 0.000 0.779  0.05
Np 0.500 0.500 0.000  4.07

Pm4MgPt: relaxed, PBE-GGA.

Computed properties:
Symmetry: F-43m
Calculated formation energy in eV per atom: -0.4746
ΔE to the lowest computed polymorph in meV/atom: 0

a = 10.020 Å, b = 10.020 Å, c = 10.020 Å
α = 60.00°, β = 60.00°, γ = 60.00°
Fractional coordinates of all 24 atoms:
Pm 0.559 0.559 0.941
Pm 0.815 0.815 0.185
Pm 0.795 0.402 0.402
Pm 0.185 0.815 0.815
Pm 0.815 0.185 0.185
Pm 0.941 0.559 0.559
Pm 0.559 0.941 0.941
Pm 0.941 0.941 0.559
Pm 0.559 0.941 0.559
Pm 0.402 0.402 0.795
Pm 0.402 0.795 0.402
Pm 0.941 0.559 0.941
Pm 0.402 0.402 0.402
Pm 0.185 0.815 0.185
Pm 0.185 0.185 0.815
Pm 0.815 0.185 0.815
Mg 0.171 0.171 0.488
Mg 0.488 0.171 0.171
Mg 0.171 0.488 0.171
Mg 0.171 0.171 0.171
Pt 0.607 0.607 0.178
Pt 0.607 0.178 0.607
Pt 0.178 0.607 0.607
Pt 0.607 0.607 0.607

Ho7Al2Sb2: relaxed, PBE-GGA.

Computed properties:
Symmetry: Cmmm

a = 6.659 Å, b = 7.636 Å, c = 6.659 Å
α = 90.00°, β = 107.86°, γ = 90.00°
Fractional coordinates of all 11 atoms:
Al 0.168 0.500 0.168
Al 0.832 0.500 0.832
Ho 0.000 0.000 0.000
Ho 0.500 0.291 0.000
Ho 0.000 0.709 0.500
Ho 0.500 0.280 0.500
Ho 0.500 0.720 0.500
Ho 0.000 0.291 0.500
Ho 0.500 0.709 0.000
Sb 0.704 0.000 0.296
Sb 0.296 0.000 0.704

BaScCl2: relaxed, PBE-GGA.

Computed properties:
Symmetry: Pmmm
ΔE to the lowest computed polymorph in meV/atom: 26

a = 4.227 Å, b = 3.888 Å, c = 6.596 Å
α = 89.97°, β = 90.00°, γ = 90.00°
Fractional coordinates of all 4 atoms:
Cl 0.000 0.251 0.502
Cl 0.000 0.249 0.998
Ba 0.500 0.750 0.750
Sc 0.500 0.250 0.250

Tb3TmTh2Se6: relaxed, PBE-GGA.

Computed properties:
Symmetry: C2/m

a = 4.100 Å, b = 8.293 Å, c = 9.245 Å
α = 103.55°, β = 102.81°, γ = 90.00°
Fractional coordinates of all 12 atoms:
Se 0.662 0.593 0.324
Se 0.337 0.925 0.674
Se 0.002 0.758 0.005
Se 0.998 0.242 0.995
Se 0.338 0.407 0.676
Se 0.663 0.075 0.326
Tb 0.500 0.500 0.000
Tb 0.830 0.166 0.659
Tb 0.170 0.834 0.341
Th 0.170 0.341 0.340
Th 0.830 0.659 0.660
Tm 0.500 0.000 0.000

InAgP2: relaxed, PBE-GGA.

Computed properties:
Symmetry: P4/mmm
Calculated formation energy in eV per atom: 0.4979

a = 4.475 Å, b = 4.475 Å, c = 3.748 Å
α = 90.00°, β = 90.00°, γ = 90.00°
Fractional coordinates of all 4 atoms:
Ag 0.500 0.500 0.500
In 0.000 0.000 0.500
P 0.500 0.000 0.000
P 0.000 0.500 0.000

YCoRe3: relaxed, PBE-GGA.

Computed properties:
Symmetry: Pm-3m
Calculated formation energy in eV per atom: 3.4898
ΔE to the lowest computed polymorph in meV/atom: 2395

a = 4.727 Å, b = 4.727 Å, c = 4.727 Å
α = 90.00°, β = 90.00°, γ = 90.00°
Fractional coordinates of all 5 atoms:
Y 0.000 0.000 0.000
Co 0.500 0.500 0.500
Re 0.500 0.000 0.000
Re 0.000 0.500 0.000
Re 0.000 0.000 0.500

ReSiSe: relaxed, PBE-GGA.

Computed properties:
Symmetry: Cm
ΔE to the lowest computed polymorph in meV/atom: 87

a = 4.863 Å, b = 6.455 Å, c = 6.455 Å
α = 152.97°, β = 143.68°, γ = 48.64°
Fractional coordinates of all 3 atoms:
Si 0.611 0.614 0.997
Se 0.402 0.334 0.068
Re 0.987 0.053 0.934

Ca2LaAl: relaxed, PBE-GGA.

Computed properties:
Symmetry: P2/m
Calculated formation energy in eV per atom: 0.0064

a = 5.205 Å, b = 3.592 Å, c = 7.283 Å
α = 70.08°, β = 90.00°, γ = 90.00°
Fractional coordinates of all 4 atoms:
Ca 0.000 0.553 0.524
Ca 0.000 0.947 0.976
La 0.500 0.250 0.250
Al 0.500 0.750 0.750

Pm4NdIr2: relaxed, PBE-GGA.

Computed properties:
Symmetry: P2_1/m
Calculated formation energy in eV per atom: -0.4071

a = 6.626 Å, b = 8.003 Å, c = 8.067 Å
α = 113.17°, β = 90.00°, γ = 90.00°
Fractional coordinates of all 14 atoms:
Ir 0.250 0.256 0.990
Ir 0.250 0.630 0.595
Ir 0.750 0.744 0.010
Ir 0.750 0.370 0.405
Pm 0.005 0.587 0.239
Pm 0.250 0.987 0.622
Pm 0.995 0.413 0.761
Pm 0.495 0.587 0.239
Pm 0.750 0.749 0.662
Pm 0.505 0.413 0.761
Pm 0.750 0.013 0.378
Pm 0.250 0.251 0.338
Nd 0.250 0.848 0.974
Nd 0.750 0.152 0.026

YHo2ReO8: relaxed, PBE-GGA.

Computed properties:
Symmetry: Cmmm

a = 5.030 Å, b = 5.028 Å, c = 6.742 Å
α = 90.00°, β = 90.00°, γ = 90.65°
Fractional coordinates of all 12 atoms:
O 0.731 0.731 0.000
O 0.308 0.308 0.500
O 0.182 0.817 0.207
O 0.818 0.183 0.207
O 0.269 0.269 0.000
O 0.182 0.817 0.793
O 0.692 0.692 0.500
O 0.818 0.183 0.793
Ho 0.500 0.500 0.748
Ho 0.500 0.500 0.252
Re 0.000 0.000 0.000
Y 0.000 0.000 0.500

| no. | raw total energy (eV per cell) |
| --- | --- |
| 1 | -19.7 |
| 2 | -157.7 |
| 3 | -14.2 |
| 4 | -27.3 |
| 5 | -13.3 |
| 6 | -12.5 |
| 7 | -47.0 |
| 8 | -15.2 |
| 9 | -22.3 |
| 10 | -22.5 |
| 11 | -117.9 |
| 12 | -50.7 |
| 13 | -17.3 |
| 14 | -74.0 |
| 15 | -14.4 |
| 16 | -33.5 |
| 17 | -20.6 |
| 18 | -12.6 |
| 19 | -88.7 |
| 20 | -101.3 |